The following is a PBE calculation of an optimized crystal structure of BeInSiP, from the Alexandria database.

## Properties
E_form (uncorrected)   0.18 eV per atom
SG   No. 6
N(E_F)   0.57 states/eV/f.u.
DFT total energy   -4.141 eV per atom
Crystal system   monoclinic

a = 3.477 Å, b = 6.847 Å, c = 3.341 Å
α = 90.01°, β = 90.00°, γ = 89.94°
Sites, in units of the cell vectors:
P: 0.031 0.730 0.471
Si: 0.030 0.970 0.972
In: 0.529 0.318 0.971
Be: 0.530 0.919 0.472

The following is a PBE calculation of an optimized crystal structure of BeInSiP, from the Alexandria database.

## Properties
E_form (uncorrected)   0.14 eV per atom
SG   No. 1
N(E_F)   0.89 states/eV/f.u.
DFT total energy   -4.187 eV per atom
Crystal system   triclinic

a = 3.473 Å, b = 7.997 Å, c = 3.455 Å
α = 77.93°, β = 119.16°, γ = 115.93°
Sites, in units of the cell vectors:
P: 0.961 0.720 0.404
Si: 0.275 0.030 0.408
Be: 0.734 0.827 0.739
In: 0.978 0.361 0.090

The following is a PBE calculation of an optimized crystal structure of BeInSiP, from the Alexandria database.

## Properties
E_form (uncorrected)   0.13 eV per atom
SG   No. 1
N(E_F)   0.30 states/eV/f.u.
DFT total energy   -4.194 eV per atom
Crystal system   triclinic

a = 3.498 Å, b = 8.051 Å, c = 3.499 Å
α = 102.39°, β = 59.90°, γ = 77.60°
Sites, in units of the cell vectors:
P: 0.426 0.725 0.083
Si: 0.124 0.030 0.386
Be: 0.989 0.830 0.854
In: 0.473 0.352 0.369

The following is a PBE calculation of an optimized crystal structure of BeInSiP, from the Alexandria database.

## Properties
E_form (uncorrected)   0.15 eV per atom
SG   No. 1
N(E_F)   0.42 states/eV/f.u.
DFT total energy   -4.173 eV per atom
Crystal system   triclinic

a = 4.072 Å, b = 5.882 Å, c = 4.098 Å
α = 70.01°, β = 60.02°, γ = 89.70°
Sites, in units of the cell vectors:
P: 0.668 0.623 0.689
Si: 0.165 0.978 0.270
Be: 0.423 0.947 0.658
In: 0.863 0.390 0.206

The following is a PBE calculation of an optimized crystal structure of BeInSiP, from the Alexandria database.

## Properties
E_form (uncorrected)   0.21 eV per atom
SG   No. 1
N(E_F)   0.59 states/eV/f.u.
DFT total energy   -4.119 eV per atom
Crystal system   triclinic

a = 3.443 Å, b = 6.282 Å, c = 3.747 Å
α = 73.38°, β = 89.54°, γ = 106.51°
Sites, in units of the cell vectors:
P: 0.888 0.704 0.663
Si: 0.034 0.002 0.081
In: 0.713 0.340 0.356
Be: 0.485 0.892 0.723

The following is a PBE calculation of an optimized crystal structure of BeInSiP, from the Alexandria database.

## Properties
E_form (uncorrected)   0.18 eV per atom
SG   No. 1
N(E_F)   1.77 states/eV/f.u.
DFT total energy   -4.141 eV per atom
Crystal system   triclinic

a = 3.810 Å, b = 7.537 Å, c = 3.330 Å
α = 89.98°, β = 115.78°, γ = 115.75°
Sites, in units of the cell vectors:
P: 0.616 0.810 0.186
Si: 0.849 0.061 0.802
Be: 0.133 0.725 0.445
In: 0.717 0.341 0.241

The following is a PBE calculation of an optimized crystal structure of BeInSiP, from the Alexandria database.

## Properties
E_form (uncorrected)   0.27 eV per atom
SG   No. 8
N(E_F)   1.09 states/eV/f.u.
DFT total energy   -4.055 eV per atom
Crystal system   monoclinic

a = 2.822 Å, b = 4.736 Å, c = 5.613 Å
α = 65.07°, β = 75.59°, γ = 90.01°
Sites, in units of the cell vectors:
P: 0.386 0.651 0.261
Si: 0.299 0.063 0.437
Be: 0.609 0.871 0.822
In: 0.094 0.353 0.858

The following is a PBE calculation of an optimized crystal structure of BeIn2SnP, from the Alexandria database.

## Properties
SG   No. 123
N(E_F)   2.39 states/eV/f.u.
DFT total energy   -2.884 eV per atom
Calculated formation energy   4.20 eV/f.u.
Crystal system   tetragonal

a = 5.157 Å, b = 5.363 Å, c = 5.157 Å
α = 90.00°, β = 90.00°, γ = 90.00°
Sites, in units of the cell vectors:
P: 0.000 0.000 0.000
Be: 0.500 0.500 0.500
Sn: 0.000 0.500 0.000
In: 0.000 0.000 0.500
In: 0.500 0.000 0.000